(1)
VASP calculation (PBE) on a geometry-optimized AcHoZnPb structure.

## Properties
Formation energy from the elements (meV per atom): -311
Space-group type: F-43m
Size of the total moment (μB/f.u.): 0.0

a b c (Å): 5.4942 5.4942 5.4942
angles (deg): 60.00 60.00 60.00
Last column: nearest neighbours and their distance in Å.
Sites, in units of the cell vectors:
Ho 0.7500 0.7500 0.7500  4 Pb 3.36, 4 Zn 3.36
Ac 0.2500 0.2500 0.2500  4 Pb 3.36, 4 Zn 3.36
Pb 0.5000 0.5000 0.5000  4 Ho 3.36, 4 Ac 3.36
Zn 0.0000 0.0000 0.0000  4 Ac 3.36, 4 Ho 3.36

(2)
VASP calculation (PBE) on a geometry-optimized Hf2Be2In structure.

## Properties
Formation energy from the elements (meV per atom): -238
Energy relative to the lowest polymorph listed for this composition (kJ per mole of atoms): 0.00
Space-group type: P4/mbm
Size of the total moment (μB/f.u.): 0.0

a b c (Å): 6.4207 6.4207 3.9468
angles (deg): 90.00 90.00 90.00
Last column: nearest neighbours and their distance in Å.
Sites, in units of the cell vectors:
Be 0.8816 0.6184 0.0000  1 Be 2.15
In 0.0000 0.0000 0.0000  4 Be 2.57
Hf 0.1664 0.6664 0.5000  6 Be 2.71-2.78, 1 Hf 3.02
In 0.5000 0.5000 0.0000  4 Be 2.57
Hf 0.8336 0.3336 0.5000  6 Be 2.71-2.78, 1 Hf 3.02
Hf 0.3336 0.1664 0.5000  6 Be 2.71-2.78, 1 Hf 3.02
Be 0.3816 0.8816 0.0000  1 Be 2.15
Be 0.6184 0.1184 0.0000  1 Be 2.15
Hf 0.6664 0.8336 0.5000  6 Be 2.71-2.78, 1 Hf 3.02
Be 0.1184 0.3816 0.0000  1 Be 2.15

(3)
VASP calculation (PBE) on a geometry-optimized PrTh2Ga2Cu2 structure.

## Properties
Formation energy from the elements (meV per atom): -287
Space-group type: R-3m
Size of the total moment (μB/f.u.): 0.0

a b c (Å): 4.4142 4.4142 9.7888
angles (deg): 76.97 76.97 60.00
Last column: nearest neighbours and their distance in Å.
Sites, in units of the cell vectors:
Cu 0.5959 0.5959 0.2122  3 Ga 2.55
Cu 0.4041 0.4041 0.7878  3 Ga 2.55
Ga 0.7362 0.7362 0.7913  3 Cu 2.55
Th 0.1304 0.1304 0.6088  3 Cu 3.06, 3 Ga 3.08, 3 Th 3.27
Pr 0.0000 0.0000 0.0000  6 Ga 3.22, 6 Cu 3.24
Ga 0.2638 0.2638 0.2087  3 Cu 2.55
Th 0.8696 0.8696 0.3912  3 Cu 3.06, 3 Ga 3.08, 3 Th 3.27

- What is the formula in the third record?
  PrTh2Ga2Cu2

- What is the size of the total moment in the second record?
  0.0 μB/f.u.